A plane-wave DFT calculation with GGA+U was carried out for a relaxed structure of FeCuAu2O6.

abc: 5.015 6.972 6.972
angles: 88.19 91.01 91.01
Fractional coordinates of all 20 atoms:
Cu 0.750 0.593 0.407
Au 0.240 0.403 0.099
Cu 0.250 0.407 0.593
O 0.944 0.053 0.166
O 0.454 0.443 0.337
O 0.046 0.663 0.557
Fe 0.250 0.906 0.094
O 0.056 0.947 0.834
O 0.488 0.862 0.357
Au 0.740 0.099 0.403
Fe 0.750 0.094 0.906
O 0.988 0.357 0.862
O 0.556 0.834 0.947
Au 0.260 0.901 0.597
O 0.512 0.138 0.643
Au 0.760 0.597 0.901
O 0.444 0.166 0.053
O 0.012 0.643 0.138
O 0.954 0.337 0.443
O 0.546 0.557 0.663

Calculated values
Space group   No. 15
Final energy   -5.01 eV/atom
Crystal system   monoclinic